A.
A plane-wave DFT calculation with PBE was carried out for an optimized crystal structure of ZrReB4.

SG: No. 71
ρ: 9.4 g/cm3

Unit cell a=4.591 b=4.591 c=4.591 alpha=140.35 beta=108.92 gamma=84.60
Fractional coordinates of all 6 atoms:
B 0.582 0.249 0.333
B 0.083 0.751 0.333
B 0.917 0.249 0.667
B 0.418 0.751 0.667
Re 0.000 0.000 0.000
Zr 0.500 0.500 0.000

B.
A plane-wave DFT calculation with PBE was carried out for an optimized crystal structure of ZrReB4.

SG: No. 191
ρ: 9.4 g/cm3

Unit cell a=3.130 b=3.130 c=6.663 alpha=90.00 beta=90.00 gamma=120.00
Fractional coordinates of all 6 atoms:
B 0.667 0.333 0.239
B 0.333 0.667 0.239
B 0.667 0.333 0.761
B 0.333 0.667 0.761
Re 0.000 0.000 0.000
Zr 0.000 0.000 0.500

C.
A plane-wave DFT calculation with PBE was carried out for an optimized crystal structure of ZrReB4.

SG: No. 55
ρ: 9.1 g/cm3

Unit cell a=5.881 b=11.350 c=3.519 alpha=90.00 beta=90.00 gamma=90.00
Fractional coordinates of all 24 atoms:
B 0.367 0.030 0.500
B 0.885 0.048 0.500
B 0.295 0.187 0.500
B 0.978 0.194 0.500
B 0.478 0.306 0.500
B 0.795 0.313 0.500
B 0.385 0.452 0.500
B 0.867 0.470 0.500
B 0.133 0.530 0.500
B 0.615 0.548 0.500
B 0.205 0.687 0.500
B 0.522 0.694 0.500
B 0.022 0.806 0.500
B 0.705 0.813 0.500
B 0.115 0.952 0.500
B 0.633 0.970 0.500
Re 0.140 0.093 0.000
Re 0.640 0.407 0.000
Re 0.360 0.593 0.000
Re 0.860 0.907 0.000
Zr 0.629 0.150 0.000
Zr 0.129 0.350 0.000
Zr 0.871 0.650 0.000
Zr 0.371 0.850 0.000

Quick one: most stable of them? C

A.
A plane-wave DFT calculation with PBE was carried out for an optimized crystal structure of SmB4Sb.

SG: No. 71
ρ: 7.0 g/cm3

Unit cell a=5.405 b=5.405 c=5.405 alpha=145.34 beta=121.77 gamma=69.57
Fractional coordinates of all 6 atoms:
B 0.085 0.764 0.321
B 0.557 0.236 0.321
B 0.915 0.236 0.679
B 0.443 0.764 0.679
Sb 0.000 0.000 0.000
Sm 0.500 0.500 0.000

B.
A plane-wave DFT calculation with PBE was carried out for an optimized crystal structure of SmB4Sb.

SG: No. 191
ρ: 7.0 g/cm3

Unit cell a=3.241 b=3.241 c=8.194 alpha=90.00 beta=90.00 gamma=120.00
Fractional coordinates of all 6 atoms:
B 0.667 0.333 0.253
B 0.333 0.667 0.253
B 0.667 0.333 0.747
B 0.333 0.667 0.747
Sb 0.000 0.000 0.000
Sm 0.000 0.000 0.500

Quick one: most stable of them? A

A.
A plane-wave DFT calculation with PBE was carried out for an optimized crystal structure of ThB4Sb.

SG: No. 191
ρ: 8.6 g/cm3

Unit cell a=3.258 b=3.258 c=8.369 alpha=90.00 beta=90.00 gamma=120.00
Fractional coordinates of all 6 atoms:
B 0.667 0.333 0.251
B 0.333 0.667 0.251
B 0.667 0.333 0.749
B 0.333 0.667 0.749
Sb 0.000 0.000 0.000
Th 0.000 0.000 0.500

B.
A plane-wave DFT calculation with PBE was carried out for an optimized crystal structure of ThB4Sb.

SG: No. 71
ρ: 8.5 g/cm3

Unit cell a=5.491 b=5.491 c=5.491 alpha=145.54 beta=122.39 gamma=68.89
Fractional coordinates of all 6 atoms:
B 0.584 0.266 0.318
B 0.052 0.734 0.318
B 0.948 0.266 0.682
B 0.416 0.734 0.682
Sb 0.500 0.500 0.000
Th 0.000 0.000 0.000

Quick one: most stable of them? B

A.
A plane-wave DFT calculation with PBE was carried out for an optimized crystal structure of UBSb.

SG: No. 216
ρ: 10.6 g/cm3

Unit cell a=4.350 b=4.350 c=4.350 alpha=60.00 beta=60.00 gamma=60.00
Site moments in Bohr magnetons follow the coordinates.
Fractional coordinates of all 3 atoms:
B 0.000 0.000 0.000  0.11
Sb 0.250 0.250 0.250  0.00
U 0.750 0.750 0.750  1.80

B.
A plane-wave DFT calculation with PBE was carried out for an optimized crystal structure of UBSb.

SG: No. 216
ρ: 8.8 g/cm3

Unit cell a=4.632 b=4.632 c=4.632 alpha=60.00 beta=60.00 gamma=60.00
Site moments in Bohr magnetons follow the coordinates.
Fractional coordinates of all 3 atoms:
B 0.500 0.500 0.500  0.03
Sb 0.000 0.000 0.000  -0.01
U 0.750 0.750 0.750  1.18

Quick one: most stable of them? A

A.
A plane-wave DFT calculation with PBE was carried out for an optimized crystal structure of BSbW.

SG: No. 216
ρ: 9.4 g/cm3

Unit cell a=4.292 b=4.292 c=4.292 alpha=60.00 beta=60.00 gamma=60.00
Fractional coordinates of all 3 atoms:
B 0.250 0.250 0.250
Sb 0.750 0.750 0.750
W 0.000 0.000 0.000

B.
A plane-wave DFT calculation with PBE was carried out for an optimized crystal structure of BSbW.

SG: No. 216
ρ: 11.1 g/cm3

Unit cell a=4.057 b=4.057 c=4.057 alpha=60.00 beta=60.00 gamma=60.00
Fractional coordinates of all 3 atoms:
B 0.000 0.000 0.000
Sb 0.250 0.250 0.250
W 0.750 0.750 0.750

Quick one: most stable of them? B

A.
A plane-wave DFT calculation with PBE was carried out for an optimized crystal structure of ZrB4Sb.

SG: No. 71
ρ: 6.3 g/cm3

Unit cell a=5.064 b=5.064 c=5.064 alpha=144.15 beta=115.81 gamma=75.76
Fractional coordinates of all 6 atoms:
B 0.585 0.253 0.332
B 0.079 0.747 0.332
B 0.921 0.253 0.668
B 0.415 0.747 0.668
Sb 0.500 0.500 0.000
Zr 0.000 0.000 0.000

B.
A plane-wave DFT calculation with PBE was carried out for an optimized crystal structure of ZrB4Sb.

SG: No. 191
ρ: 6.2 g/cm3

Unit cell a=3.174 b=3.174 c=7.839 alpha=90.00 beta=90.00 gamma=120.00
Fractional coordinates of all 6 atoms:
B 0.667 0.333 0.224
B 0.333 0.667 0.224
B 0.667 0.333 0.776
B 0.333 0.667 0.776
Sb 0.000 0.000 0.500
Zr 0.000 0.000 0.000

Quick one: most stable of them? B

A.
A plane-wave DFT calculation with PBE was carried out for an optimized crystal structure of SmScB.

SG: No. 216
ρ: 5.6 g/cm3

Unit cell a=4.424 b=4.424 c=4.424 alpha=60.00 beta=60.00 gamma=60.00
Fractional coordinates of all 3 atoms:
B 0.250 0.250 0.250
Sc 0.750 0.750 0.750
Sm 0.000 0.000 0.000

B.
A plane-wave DFT calculation with PBE was carried out for an optimized crystal structure of SmScB.

SG: No. 216
ρ: 5.6 g/cm3

Unit cell a=4.434 b=4.434 c=4.434 alpha=60.00 beta=60.00 gamma=60.00
Fractional coordinates of all 3 atoms:
B 0.000 0.000 0.000
Sc 0.750 0.750 0.750
Sm 0.250 0.250 0.250

Quick one: most stable of them? B

A.
A plane-wave DFT calculation with PBE was carried out for an optimized crystal structure of ScUB.

SG: No. 216
ρ: 8.4 g/cm3

Unit cell a=4.353 b=4.353 c=4.353 alpha=60.00 beta=60.00 gamma=60.00
Fractional coordinates of all 3 atoms:
B 0.250 0.250 0.250
Sc 0.750 0.750 0.750
U 0.000 0.000 0.000

B.
A plane-wave DFT calculation with PBE was carried out for an optimized crystal structure of ScUB.

SG: No. 216
ρ: 8.9 g/cm3

Unit cell a=4.260 b=4.260 c=4.260 alpha=60.00 beta=60.00 gamma=60.00
Site moments in Bohr magnetons follow the coordinates.
Fractional coordinates of all 3 atoms:
B 0.000 0.000 0.000  -0.08
Sc 0.250 0.250 0.250  0.23
U 0.750 0.750 0.750  1.67

Quick one: most stable of them? B

A.
A plane-wave DFT calculation with PBE was carried out for an optimized crystal structure of ScB4W.

SG: No. 191
ρ: 8.2 g/cm3

Unit cell a=3.070 b=3.070 c=6.787 alpha=90.00 beta=90.00 gamma=120.00
Fractional coordinates of all 6 atoms:
B 0.667 0.333 0.257
B 0.333 0.667 0.257
B 0.667 0.333 0.743
B 0.333 0.667 0.743
Sc 0.000 0.000 0.000
W 0.000 0.000 0.500

B.
A plane-wave DFT calculation with PBE was carried out for an optimized crystal structure of ScB4W.

SG: No. 71
ρ: 8.3 g/cm3

Unit cell a=4.526 b=4.526 c=4.526 alpha=140.08 beta=108.16 gamma=85.50
Fractional coordinates of all 6 atoms:
B 0.584 0.248 0.335
B 0.087 0.752 0.335
B 0.913 0.248 0.665
B 0.416 0.752 0.665
Sc 0.500 0.500 0.000
W 0.000 0.000 0.000

Quick one: most stable of them? B

A.
A plane-wave DFT calculation with PBE was carried out for an optimized crystal structure of ScBW.

SG: No. 216
ρ: 9.1 g/cm3

Unit cell a=3.957 b=3.957 c=3.957 alpha=60.00 beta=60.00 gamma=60.00
Fractional coordinates of all 3 atoms:
B 0.000 0.000 0.000
Sc 0.250 0.250 0.250
W 0.750 0.750 0.750

B.
A plane-wave DFT calculation with PBE was carried out for an optimized crystal structure of ScBW.

SG: No. 62
ρ: 9.4 g/cm3

Unit cell a=6.500 b=3.356 c=7.780 alpha=90.00 beta=90.00 gamma=90.00
Site moments in Bohr magnetons follow the coordinates.
Fractional coordinates of all 12 atoms:
B 0.773 0.250 0.144  0.01
B 0.273 0.250 0.356  0.01
B 0.727 0.750 0.644  0.01
B 0.227 0.750 0.856  0.01
Sc 0.475 0.750 0.169  0.19
Sc 0.975 0.750 0.331  0.18
Sc 0.025 0.250 0.669  0.18
Sc 0.525 0.250 0.831  0.19
W 0.138 0.250 0.053  0.12
W 0.638 0.250 0.447  0.12
W 0.362 0.750 0.553  0.12
W 0.862 0.750 0.947  0.12

Quick one: most stable of them? B

A.
A plane-wave DFT calculation with PBE was carried out for an optimized crystal structure of TaSiB4.

SG: No. 71
ρ: 7.7 g/cm3

Unit cell a=4.601 b=4.601 c=4.601 alpha=142.54 beta=109.08 gamma=83.07
Fractional coordinates of all 6 atoms:
B 0.576 0.238 0.338
B 0.100 0.762 0.338
B 0.900 0.238 0.662
B 0.424 0.762 0.662
Si 0.500 0.500 0.000
Ta 0.000 0.000 0.000

B.
A plane-wave DFT calculation with PBE was carried out for an optimized crystal structure of TaSiB4.

SG: No. 191
ρ: 7.5 g/cm3

Unit cell a=3.026 b=3.026 c=7.032 alpha=90.00 beta=90.00 gamma=120.00
Fractional coordinates of all 6 atoms:
B 0.667 0.333 0.253
B 0.333 0.667 0.253
B 0.667 0.333 0.747
B 0.333 0.667 0.747
Si 0.000 0.000 0.000
Ta 0.000 0.000 0.500

Quick one: most stable of them? B

A.
A plane-wave DFT calculation with PBE was carried out for an optimized crystal structure of TbSiB4.

SG: No. 71
ρ: 5.9 g/cm3

Unit cell a=5.026 b=5.026 c=5.026 alpha=143.17 beta=119.43 gamma=73.03
Fractional coordinates of all 6 atoms:
B 0.558 0.236 0.323
B 0.087 0.764 0.323
B 0.913 0.236 0.677
B 0.442 0.764 0.677
Si 0.000 0.000 0.000
Tb 0.500 0.500 0.000

B.
A plane-wave DFT calculation with PBE was carried out for an optimized crystal structure of TbSiB4.

SG: No. 191
ρ: 6.2 g/cm3

Unit cell a=3.087 b=3.087 c=7.439 alpha=90.00 beta=90.00 gamma=120.00
Fractional coordinates of all 6 atoms:
B 0.667 0.333 0.280
B 0.333 0.667 0.280
B 0.667 0.333 0.720
B 0.333 0.667 0.720
Si 0.000 0.000 0.500
Tb 0.000 0.000 0.000

Quick one: most stable of them? A

A.
A plane-wave DFT calculation with PBE was carried out for an optimized crystal structure of SiTcB.

SG: No. 216
ρ: 5.7 g/cm3

Unit cell a=3.839 b=3.839 c=3.839 alpha=60.00 beta=60.00 gamma=60.00
Fractional coordinates of all 3 atoms:
B 0.250 0.250 0.250
Si 0.750 0.750 0.750
Tc 0.000 0.000 0.000

B.
A plane-wave DFT calculation with PBE was carried out for an optimized crystal structure of SiTcB.

SG: No. 216
ρ: 6.5 g/cm3

Unit cell a=3.670 b=3.670 c=3.670 alpha=60.00 beta=60.00 gamma=60.00
Fractional coordinates of all 3 atoms:
B 0.000 0.000 0.000
Si 0.250 0.250 0.250
Tc 0.750 0.750 0.750

Quick one: most stable of them? B